Entry from Alexandria via LeMat-Bulk: a relaxed structure of Li2BeZnSi (PBE).

a b c (Å): 4.8499 4.8499 4.4953
angles (deg): 90.00 90.00 90.00
Last column: nearest neighbours and their distance in Å.
Element x y z (fractional)
Li  0.0000  0.5000  0.0000  2 Si 2.42
Li  0.5000  0.0000  0.0000  2 Si 2.42
Be  0.0000  0.0000  0.5000  8 Li 3.31, 4 Zn 3.43
Zn  0.5000  0.5000  0.5000  2 Si 2.25
Si  0.5000  0.5000  0.0000  2 Zn 2.25, 4 Li 2.42

Properties
Size of the total moment, μB per cell: 0.00
VASP energy, eV/atom: -2.237
D(E_F), states/eV/f.u.: 1.42
Formation energy (no corrections), eV/atom: 0.61